# BaAl5 | Alexandria via LeMat-Bulk | GGA-PBE | optimized geometry
# ΔE_f   0.0953 eV per atom
data_BaAl5
_cell_length_a 4.514
_cell_length_b 13.061
_cell_length_c 4.590
_cell_angle_alpha 90.00
_cell_angle_beta 90.00
_cell_angle_gamma 90.00
_space_group_name_H-M_alt 'C m m m'
_space_group_IT_number 65
_space_group_name_Hall '-C 2 2'
loop_
_atom_site_label
_atom_site_fract_x
_atom_site_fract_y
_atom_site_fract_z
Ba1 0.000 0.000 0.000
Al1 0.000 0.180 0.500
Al2 0.000 0.310 0.000
Al3 0.000 0.500 0.500